Li7Mn2Co3O12 | PBE with a Hubbard U | relaxed

```
24
Lattice="2.929 0.000 0.000 0.203 5.927 0.000 0.181 2.795 12.351" Properties=species:S:1:pos:R:3 pbc="T T T"
Li 0.000 0.000 0.000
Li 0.262 5.890 8.027
Li 0.141 2.879 4.113
Li 1.498 1.431 2.046
Li 1.641 4.321 6.010
Li 1.580 1.438 6.046
Li 1.839 7.327 10.124
Mn 1.618 4.281 10.210
Mn 3.208 5.810 12.342
Co 0.237 5.908 4.129
Co 1.644 4.450 2.025
Co 3.066 2.775 7.918
O 0.145 2.924 6.145
O 0.252 5.824 5.866
O 0.185 3.131 1.957
O 1.564 4.348 12.222
O 1.560 4.497 3.916
O 1.621 4.271 8.336
O 1.789 7.377 8.179
O 1.647 1.297 3.987
O 1.731 4.435 0.031
O 3.096 5.615 10.312
O 3.113 5.738 2.119
O 3.080 3.000 10.238
```

Computed properties:
Total moment ... 14.00 μB per formula unit
Electronic total energy ... -5.84 eV/atom
V ... 8.93 A^3/atom